(1)
Below is crystalline FeReW2 at its relaxed geometry, with properties calculated at the PBE level.

Cell: 2.803 2.803 26.411 Å, 90.00 90.00 120.00°
Element x y z (fractional)
Fe (0.000, 0.000, 0.000)
Fe (0.333, 0.667, 0.667)
Fe (0.667, 0.333, 0.333)
Re (0.000, 0.000, 0.500)
Re (0.333, 0.667, 0.167)
Re (0.667, 0.333, 0.833)
W (0.000, 0.000, 0.253)
W (0.000, 0.000, 0.747)
W (0.333, 0.667, 0.414)
W (0.333, 0.667, 0.919)
W (0.667, 0.333, 0.081)
W (0.667, 0.333, 0.586)

Polymorph energy (0 for the lowest one) (meV/atom): 224
ΔE_f (eV per atom): 0.333
Space group: R-3m (166)
Total moment (μB/cell): 6.811
E (eV for the cell shown): -136.5


(2)
Below is crystalline Fe2ReW at its relaxed geometry, with properties calculated at the PBE level.

Cell: 3.100 4.211 8.468 Å, 90.00 90.00 90.00°
Element x y z (fractional)
Fe (0.000, 0.000, 0.250)
Fe (0.000, 0.000, 0.750)
Fe (0.500, 0.500, 0.250)
Fe (0.500, 0.500, 0.750)
Re (0.000, 0.500, 0.000)
Re (0.500, 0.000, 0.500)
W (0.000, 0.500, 0.500)
W (0.500, 0.000, 0.000)

ΔE_f (eV per atom): 0.125
Space group: Immm (71)
Total moment (μB/cell): 9.323
E (eV for the cell shown): -83.7